V4Fe2O13 after structural relaxation, computed with PBE+U.

abc: 8.562 9.565 15.051
angles: 90.00 103.95 90.00
Fractional coordinates of all 76 atoms:
V 0.011 0.219 0.422
V 0.011 0.281 0.922
V 0.214 0.213 0.658
V 0.214 0.287 0.158
V 0.295 0.710 0.344
V 0.295 0.790 0.844
V 0.383 0.732 0.079
V 0.383 0.768 0.579
V 0.617 0.232 0.421
V 0.617 0.268 0.921
V 0.705 0.210 0.156
V 0.705 0.290 0.656
V 0.786 0.713 0.842
V 0.786 0.787 0.342
V 0.989 0.719 0.078
V 0.989 0.781 0.578
Fe 0.054 0.502 0.738
Fe 0.054 0.998 0.238
Fe 0.435 0.504 0.756
Fe 0.435 0.996 0.256
Fe 0.565 0.004 0.744
Fe 0.565 0.496 0.244
Fe 0.946 0.002 0.762
Fe 0.946 0.498 0.262
O 0.010 0.618 0.623
O 0.010 0.882 0.123
O 0.084 0.111 0.353
O 0.084 0.389 0.853
O 0.094 0.120 0.711
O 0.094 0.380 0.211
O 0.113 0.631 0.332
O 0.113 0.869 0.832
O 0.133 0.219 0.536
O 0.133 0.281 0.036
O 0.187 0.659 0.075
O 0.187 0.841 0.575
O 0.234 0.112 0.201
O 0.234 0.388 0.701
O 0.257 0.621 0.792
O 0.257 0.879 0.292
O 0.394 0.730 0.464
O 0.394 0.770 0.964
O 0.399 0.139 0.679
O 0.399 0.361 0.179
O 0.403 0.618 0.640
O 0.403 0.882 0.140
O 0.409 0.612 0.291
O 0.409 0.888 0.791
O 0.477 0.113 0.370
O 0.477 0.387 0.870
O 0.523 0.613 0.130
O 0.523 0.887 0.630
O 0.591 0.112 0.209
O 0.591 0.388 0.709
O 0.597 0.118 0.860
O 0.597 0.382 0.360
O 0.601 0.639 0.821
O 0.601 0.861 0.321
O 0.606 0.230 0.036
O 0.606 0.270 0.536
O 0.743 0.121 0.708
O 0.743 0.379 0.208
O 0.766 0.612 0.299
O 0.766 0.888 0.799
O 0.813 0.159 0.425
O 0.813 0.341 0.925
O 0.867 0.719 0.964
O 0.867 0.781 0.464
O 0.887 0.131 0.168
O 0.887 0.369 0.668
O 0.906 0.620 0.789
O 0.906 0.880 0.289
O 0.916 0.611 0.147
O 0.916 0.889 0.647
O 0.990 0.118 0.877
O 0.990 0.382 0.377

Results
Total energy in eV per atom: -7.319
Crystal system: monoclinic
Space-group type: P2_1/c